## CsHfNi2Mo (PBE)

Data for a relaxed structure of CsHfNi2Mo.

Cell lengths 4.9871, 5.0693, 4.9871 Å; angles 90.00, 90.00, 90.00 degrees
Last column: nearest neighbours and their distance in Å.
Sites, in units of the cell vectors:
Hf  0.0000  0.0000  0.0000  4 Ni 2.49, 2 Mo 2.53
Ni  0.5000  0.0000  0.0000  2 Hf 2.49
Ni  0.0000  0.0000  0.5000  2 Hf 2.49
Cs  0.5000  0.5000  0.5000  4 Mo 3.53, 8 Ni 3.56
Mo  0.0000  0.5000  0.0000  2 Hf 2.53

Properties
- crystal system = tetragonal
- symmetry = P4/mmm (123)
- ΔH_f (0 K) (eV per atom) = 1.403

## ErZnCu2 (PBE)

Data for a relaxed structure of ErZnCu2.

Cell lengths 3.2277, 3.2277, 6.3954 Å; angles 90.00, 90.00, 90.00 degrees
Last column: nearest neighbours and their distance in Å.
Sites, in units of the cell vectors:
Cu  0.0000  0.0000  0.7932  4 Zn 2.64, 1 Cu 2.65, 4 Er 2.95
Cu  0.0000  0.0000  0.2068  4 Zn 2.64, 1 Cu 2.65, 4 Er 2.95
Zn  0.5000  0.5000  0.0000  8 Cu 2.64
Er  0.5000  0.5000  0.5000  8 Cu 2.95, 2 Zn 3.20, 4 Er 3.23

Properties
- crystal system = tetragonal
- symmetry = P4/mmm (123)
- ΔH_f (0 K) (eV per atom) = -0.134

## HfCl2O (PBE)

Data for a relaxed structure of HfCl2O.

Cell lengths 10.3727, 10.3727, 10.3727 Å; angles 19.40, 19.40, 19.40 degrees
Last column: nearest neighbours and their distance in Å.
Sites, in units of the cell vectors:
Cl  0.0755  0.0755  0.0755  1 Hf 2.30
Cl  0.9245  0.9245  0.9245  1 Hf 2.30
O  0.5000  0.5000  0.5000  6 Cl 3.44, 6 O 3.49
Hf  0.0000  0.0000  0.0000  2 Cl 2.30

Properties
- crystal system = trigonal
- symmetry = R-3m (166)

## CaSm2 (PBE)

Data for a relaxed structure of CaSm2.

Cell lengths 6.8396, 6.8396, 6.8396 Å; angles 60.00, 60.00, 60.00 degrees
Last column: nearest neighbours and their distance in Å.
Sites, in units of the cell vectors:
Sm  0.6250  0.6250  0.6250  6 Sm 3.42
Sm  0.6250  0.6250  0.1250  6 Sm 3.42
Sm  0.6250  0.1250  0.6250  6 Sm 3.42
Sm  0.1250  0.6250  0.6250  6 Sm 3.42
Ca  0.0000  0.0000  0.0000  12 Sm 4.01, 4 Ca 4.19
Ca  0.2500  0.2500  0.2500  12 Sm 4.01, 4 Ca 4.19

Properties
- crystal system = cubic
- polymorph energy (0 for the lowest one) (eV/atom) = 0.128
- symmetry = Fd-3m (227)
- ΔH_f (0 K) (eV per atom) = 0.167

no.,magnetization (Bohr magnetons per cell),final energy (eV per atom)
1,2.50,-5.2375
2,0.00,-3.6415
3,1.96,-4.6209
4,0.00,-3.6462